A relaxed structure of LaY2Er6, computed with GGA-PBE.

Summary:
ΔE_f in kJ/mol of atoms: 3
N(E_F) in states/eV per cell: 23.9

Lattice parameters (Å, degrees): 5.038 10.638 10.639 90.00 90.00 90.00
Positions (direct):
La: 0.500 0.500 0.000
La: 0.000 0.000 0.500
Y: 0.000 0.331 0.831
Y: 0.500 0.831 0.669
Y: 0.500 0.169 0.331
Y: 0.000 0.669 0.169
Er: 0.000 0.001 0.164
Er: 0.000 0.664 0.501
Er: 0.000 0.669 0.832
Er: 0.500 0.169 0.668
Er: 0.500 0.164 0.999
Er: 0.500 0.501 0.336
Er: 0.000 0.999 0.836
Er: 0.000 0.336 0.499
Er: 0.000 0.331 0.168
Er: 0.500 0.831 0.332
Er: 0.500 0.836 0.001
Er: 0.500 0.499 0.664